The following is a PBE calculation of an optimized crystal structure of CsPPtCl2, from Alexandria via LeMat-Bulk.

Cell: 5.491 4.467 5.491 Å, 90.00 90.00 90.00°
Element x y z (fractional)
Cl: 0.000 0.000 0.500
Cl: 0.500 0.000 0.000
Pt: 0.000 0.500 0.000
P: 0.000 0.000 0.000
Cs: 0.500 0.500 0.500

Output
Its density of states at the Fermi level is 1.64 states/eV per cell. As for the electronic total energy: -19.05 eV per cell. The total magnetic moment is 0.000 μB per atom. Its distance to the lowest polymorph of the same formula is 0.00 kcal/mol of atoms. Its space group is P4/mmm. The formation energy without anion corrections comes out at -0.611 eV per atom.